(1)
# In2CuTe | Alexandria | PBE | relaxed
data_In2CuTe
_chemical_formula_sum 'In2 Cu1 Te1'
_symmetry_space_group_name_H-M 'P 1'
_symmetry_Int_Tables_number 1
_cell_length_a 5.5683
_cell_length_b 5.5683
_cell_length_c 5.5683
_cell_angle_alpha 129.79
_cell_angle_beta 129.79
_cell_angle_gamma 73.74
loop_
_symmetry_equiv_pos_as_xyz
'x,y,z'
loop_
_atom_site_label
_atom_site_fract_x
_atom_site_fract_y
_atom_site_fract_z
In1 0.0000 0.0000 0.0000
In2 0.7500 0.2500 0.5000
Cu1 0.5000 0.5000 0.0000
Te1 0.2500 0.7500 0.5000
# Formation energy (no corrections) = 0.2254 eV per atom
# Density = 7.03 Mg/m³
# M_tot = 0.00 μB/f.u.

---

(2)
# LaZn3B | Alexandria | PBE | relaxed
data_LaZn3B
_chemical_formula_sum 'La1 Zn3 B1'
_symmetry_space_group_name_H-M 'P 1'
_symmetry_Int_Tables_number 1
_cell_length_a 4.4594
_cell_length_b 4.4594
_cell_length_c 4.4594
_cell_angle_alpha 90.00
_cell_angle_beta 90.00
_cell_angle_gamma 90.00
loop_
_symmetry_equiv_pos_as_xyz
'x,y,z'
loop_
_atom_site_label
_atom_site_fract_x
_atom_site_fract_y
_atom_site_fract_z
La1 0.0000 0.0000 0.0000
Zn1 0.0000 0.5000 0.5000
Zn2 0.5000 0.0000 0.5000
Zn3 0.5000 0.5000 0.0000
B1 0.5000 0.5000 0.5000
# Density = 6.48 Mg/m³
# M_tot = 0.00 μB/f.u.
# Formation enthalpy at 0 K = 0.1910 eV/atom

---

(3)
# TbGaIrRh | Alexandria | PBE | relaxed
data_TbGaIrRh
_chemical_formula_sum 'Tb1 Ga1 Ir1 Rh1'
_symmetry_space_group_name_H-M 'P 1'
_symmetry_Int_Tables_number 1
_cell_length_a 4.5942
_cell_length_b 4.5942
_cell_length_c 4.5942
_cell_angle_alpha 60.00
_cell_angle_beta 60.00
_cell_angle_gamma 60.00
loop_
_symmetry_equiv_pos_as_xyz
'x,y,z'
loop_
_atom_site_label
_atom_site_fract_x
_atom_site_fract_y
_atom_site_fract_z
Tb1 0.0000 0.0000 0.0000
Ga1 0.5000 0.5000 0.5000
Ir1 0.2500 0.2500 0.2500
Rh1 0.7500 0.7500 0.7500
# Density = 12.68 Mg/m³
# M_tot = 0.00 μB/f.u.
# Formation enthalpy at 0 K = -0.6695 eV/atom

---

(4)
# NaSr8Ga2 | Alexandria | PBE | relaxed
data_NaSr8Ga2
_chemical_formula_sum 'Na1 Sr8 Ga2'
_symmetry_space_group_name_H-M 'P 1'
_symmetry_Int_Tables_number 1
_cell_length_a 10.6801
_cell_length_b 10.6801
_cell_length_c 10.6801
_cell_angle_alpha 147.17
_cell_angle_beta 56.89
_cell_angle_gamma 134.90
loop_
_symmetry_equiv_pos_as_xyz
'x,y,z'
loop_
_atom_site_label
_atom_site_fract_x
_atom_site_fract_y
_atom_site_fract_z
Na1 0.0000 0.0000 0.0000
Sr1 0.0490 0.6592 0.3898
Sr2 0.1276 0.3390 0.7887
Sr3 0.2695 0.6592 0.6102
Sr4 0.4270 0.4270 0.0000
Sr5 0.5503 0.3390 0.2113
Sr6 0.6300 0.7947 0.8353
Sr7 0.7085 0.2085 0.5000
Sr8 0.9594 0.7947 0.1647
Ga1 0.3722 0.0407 0.3314
Ga2 0.7093 0.0407 0.6686
# Density = 3.09 Mg/m³
# M_tot = 0.00 μB/f.u.
# Formation enthalpy at 0 K = -0.0860 eV/atom

---

(5)
# CdSiW | Alexandria | PBE | relaxed
data_CdSiW
_chemical_formula_sum 'Cd1 Si1 W1'
_symmetry_space_group_name_H-M 'P 1'
_symmetry_Int_Tables_number 1
_cell_length_a 6.9773
_cell_length_b 6.9773
_cell_length_c 6.9773
_cell_angle_alpha 156.84
_cell_angle_beta 156.84
_cell_angle_gamma 32.98
loop_
_symmetry_equiv_pos_as_xyz
'x,y,z'
loop_
_atom_site_label
_atom_site_fract_x
_atom_site_fract_y
_atom_site_fract_z
Cd1 0.0000 0.0000 0.0000
Si1 0.3108 0.3108 0.0000
W1 0.6724 0.6724 0.0000
# Formation energy (no corrections) = 0.5535 eV per atom
# Density = 10.26 Mg/m³
# M_tot = 0.00 μB/f.u.

---

(6)
# TiRu2Cl | Alexandria | PBE | relaxed
data_TiRu2Cl
_chemical_formula_sum 'Ti1 Ru2 Cl1'
_symmetry_space_group_name_H-M 'P 1'
_symmetry_Int_Tables_number 1
_cell_length_a 4.3805
_cell_length_b 4.3805
_cell_length_c 4.3805
_cell_angle_alpha 60.00
_cell_angle_beta 60.00
_cell_angle_gamma 60.00
loop_
_symmetry_equiv_pos_as_xyz
'x,y,z'
loop_
_atom_site_label
_atom_site_fract_x
_atom_site_fract_y
_atom_site_fract_z
Ti1 0.0000 0.0000 0.0000
Ru1 0.2500 0.2500 0.2500
Ru2 0.7500 0.7500 0.7500
Cl1 0.5000 0.5000 0.5000
# Formation energy (no corrections) = 0.4507 eV per atom
# Density = 7.98 Mg/m³
# M_tot = 0.00 μB/f.u.

---

(7)
# InCuOs2 | Alexandria | PBE | relaxed
data_InCuOs2
_chemical_formula_sum 'In1 Cu1 Os2'
_symmetry_space_group_name_H-M 'P 1'
_symmetry_Int_Tables_number 1
_cell_length_a 5.2728
_cell_length_b 5.2728
_cell_length_c 5.2728
_cell_angle_alpha 147.01
_cell_angle_beta 128.78
_cell_angle_gamma 62.28
loop_
_symmetry_equiv_pos_as_xyz
'x,y,z'
loop_
_atom_site_label
_atom_site_fract_x
_atom_site_fract_y
_atom_site_fract_z
In1 0.0000 0.0000 0.0000
Cu1 0.7487 0.2487 0.5000
Os1 0.2652 0.7652 0.5000
Os2 0.5031 0.5031 0.0000
# Density = 15.06 Mg/m³
# M_tot = 0.00 μB/f.u.
# Formation enthalpy at 0 K = 0.5820 eV/atom

---

(8)
# Ac3Cd4Pd4 | Alexandria | PBE | relaxed
data_Ac3Cd4Pd4
_chemical_formula_sum 'Ac3 Cd4 Pd4'
_symmetry_space_group_name_H-M 'P 1'
_symmetry_Int_Tables_number 1
_cell_length_a 8.9797
_cell_length_b 8.9797
_cell_length_c 8.9797
_cell_angle_alpha 152.01
_cell_angle_beta 125.64
_cell_angle_gamma 62.24
loop_
_symmetry_equiv_pos_as_xyz
'x,y,z'
loop_
_atom_site_label
_atom_site_fract_x
_atom_site_fract_y
_atom_site_fract_z
Ac1 0.0000 0.0000 0.0000
Ac2 0.3770 0.8770 0.5000
Ac3 0.6230 0.1230 0.5000
Cd1 0.0185 0.3274 0.6911
Cd2 0.3637 0.6726 0.6911
Cd3 0.6363 0.3274 0.3089
Cd4 0.9815 0.6726 0.3089
Pd1 0.2258 0.2258 0.0000
Pd2 0.3075 0.5000 0.8075
Pd3 0.6925 0.5000 0.1925
Pd4 0.7742 0.7742 0.0000
# Density = 9.43 Mg/m³
# M_tot = 0.00 μB/f.u.
# Formation enthalpy at 0 K = -0.6317 eV/atom

---

(9)
# SbAsH3 | Alexandria | PBE | relaxed
data_SbAsH3
_chemical_formula_sum 'Sb1 As1 H3'
_symmetry_space_group_name_H-M 'P 1'
_symmetry_Int_Tables_number 1
_cell_length_a 3.9677
_cell_length_b 3.9677
_cell_length_c 3.9677
_cell_angle_alpha 90.00
_cell_angle_beta 90.00
_cell_angle_gamma 90.00
loop_
_symmetry_equiv_pos_as_xyz
'x,y,z'
loop_
_atom_site_label
_atom_site_fract_x
_atom_site_fract_y
_atom_site_fract_z
Sb1 0.0000 0.0000 0.0000
As1 0.5000 0.5000 0.5000
H1 0.0000 0.0000 0.5000
H2 0.0000 0.5000 0.0000
H3 0.5000 0.0000 0.0000
# Density = 5.31 Mg/m³
# M_tot = 0.00 μB/f.u.
# Uncorrected energy = -0.10741 hartree per atom

---

(10)
# ThTlIn2Cl8 | Alexandria | PBE | relaxed
data_ThTlIn2Cl8
_chemical_formula_sum 'Th1 Tl1 In2 Cl8'
_symmetry_space_group_name_H-M 'P 1'
_symmetry_Int_Tables_number 1
_cell_length_a 6.7168
_cell_length_b 9.2114
_cell_length_c 6.9890
_cell_angle_alpha 90.00
_cell_angle_beta 90.08
_cell_angle_gamma 90.00
loop_
_symmetry_equiv_pos_as_xyz
'x,y,z'
loop_
_atom_site_label
_atom_site_fract_x
_atom_site_fract_y
_atom_site_fract_z
Th1 0.0000 0.0000 0.0000
Tl1 0.0000 0.5000 0.0000
In1 0.5000 0.2642 0.5000
In2 0.5000 0.7358 0.5000
Cl1 0.2242 0.2127 0.8425
Cl2 0.2242 0.7873 0.8425
Cl3 0.2431 0.0000 0.3071
Cl4 0.2983 0.5000 0.3553
Cl5 0.7017 0.5000 0.6447
Cl6 0.7569 0.0000 0.6929
Cl7 0.7758 0.2127 0.1575
Cl8 0.7758 0.7873 0.1575
# Formation energy (no corrections) = -1.3968 eV per atom
# Density = 3.65 Mg/m³
# M_tot = 0.01 μB/f.u.

---

(11)
# Cs3Y3AlTe8 | Alexandria | PBE | relaxed
data_Cs3Y3AlTe8
_chemical_formula_sum 'Cs3 Y3 Al1 Te8'
_symmetry_space_group_name_H-M 'P 1'
_symmetry_Int_Tables_number 1
_cell_length_a 10.5600
_cell_length_b 10.5600
_cell_length_c 10.5600
_cell_angle_alpha 48.94
_cell_angle_beta 48.94
_cell_angle_gamma 48.94
loop_
_symmetry_equiv_pos_as_xyz
'x,y,z'
loop_
_atom_site_label
_atom_site_fract_x
_atom_site_fract_y
_atom_site_fract_z
Cs1 0.0000 0.5000 0.5000
Cs2 0.5000 0.0000 0.5000
Cs3 0.5000 0.5000 0.0000
Y1 0.0000 0.0000 0.5000
Y2 0.0000 0.5000 0.0000
Y3 0.5000 0.0000 0.0000
Al1 0.5000 0.5000 0.5000
Te1 0.2309 0.2309 0.2309
Te2 0.2477 0.7160 0.7160
Te3 0.2840 0.2840 0.7523
Te4 0.2840 0.7523 0.2840
Te5 0.7160 0.2477 0.7160
Te6 0.7160 0.7160 0.2477
Te7 0.7523 0.2840 0.2840
Te8 0.7691 0.7691 0.7691
# Formation energy (no corrections) = -1.1219 eV per atom
# Density = 4.63 Mg/m³
# M_tot = 0.00 μB/f.u.

---

(12)
# B3SbOs | Alexandria | PBE | relaxed
data_B3SbOs
_chemical_formula_sum 'B3 Sb1 Os1'
_symmetry_space_group_name_H-M 'P 1'
_symmetry_Int_Tables_number 1
_cell_length_a 4.3126
_cell_length_b 4.3126
_cell_length_c 4.3126
_cell_angle_alpha 90.00
_cell_angle_beta 90.00
_cell_angle_gamma 90.00
loop_
_symmetry_equiv_pos_as_xyz
'x,y,z'
loop_
_atom_site_label
_atom_site_fract_x
_atom_site_fract_y
_atom_site_fract_z
B1 0.0000 0.0000 0.5000
B2 0.0000 0.5000 0.0000
B3 0.5000 0.0000 0.0000
Sb1 0.0000 0.0000 0.0000
Os1 0.5000 0.5000 0.5000
# Formation energy (no corrections) = 2.8989 eV per atom
# Density = 7.13 Mg/m³
# M_tot = 0.00 μB/f.u.